ReSi2As: relaxed, PBE.

abc: 3.0508 3.0508 23.3805
angles: 90.00 90.00 120.00
Closest atoms and distances in Å follow each position.
Fractional coordinates of all 12 atoms:
Re (0.0000, 0.0000, 0.0000)  3 Si 2.53, 3 As 2.55
Re (0.3333, 0.6667, 0.6667)  3 Si 2.53, 3 As 2.55
Re (0.6667, 0.3333, 0.3333)  3 Si 2.53, 3 As 2.55
Si (0.0000, 0.0000, 0.4919)  3 Si 2.58, 3 As 2.85
Si (0.0000, 0.0000, 0.7443)  3 Re 2.53, 3 Si 2.58
Si (0.3333, 0.6667, 0.1586)  3 Si 2.58, 3 As 2.85
Si (0.3333, 0.6667, 0.4110)  3 Re 2.53, 3 Si 2.58
Si (0.6667, 0.3333, 0.0777)  3 Re 2.53, 3 Si 2.58
Si (0.6667, 0.3333, 0.8252)  3 Si 2.58, 3 As 2.85
As (0.0000, 0.0000, 0.2542)  3 Re 2.55, 3 Si 2.85
As (0.3333, 0.6667, 0.9209)  3 Re 2.55, 3 Si 2.85
As (0.6667, 0.3333, 0.5875)  3 Re 2.55, 3 Si 2.85

Summary:
Energy = -6.708 eV per atom
Uncorrected formation energy = 0.278 eV/atom
Volume = 15.7 A^3/atom
Crystal system = trigonal
Mass density = 8.39 g/cm³
Space group = No. 160

=====

Re2SiAs: relaxed, PBE.

abc: 2.9934 2.9934 23.3439
angles: 90.00 90.00 120.00
Closest atoms and distances in Å follow each position.
Fractional coordinates of all 12 atoms:
Re (0.0000, 0.0000, 0.0000)  3 As 2.54, 3 Re 2.74
Re (0.0000, 0.0000, 0.2425)  3 Si 2.48, 3 Re 2.74
Re (0.3333, 0.6667, 0.6667)  3 As 2.54, 3 Re 2.74
Re (0.3333, 0.6667, 0.9091)  3 Si 2.48, 3 Re 2.74
Re (0.6667, 0.3333, 0.3333)  3 As 2.54, 3 Re 2.74
Re (0.6667, 0.3333, 0.5758)  3 Si 2.48, 3 Re 2.74
Si (0.0000, 0.0000, 0.4998)  3 Re 2.48, 3 As 2.66
Si (0.3333, 0.6667, 0.1665)  3 Re 2.48, 3 As 2.66
Si (0.6667, 0.3333, 0.8332)  3 Re 2.48, 3 As 2.66
As (0.0000, 0.0000, 0.7467)  3 Re 2.54, 3 Si 2.66
As (0.3333, 0.6667, 0.4133)  3 Re 2.54, 3 Si 2.66
As (0.6667, 0.3333, 0.0800)  3 Re 2.54, 3 Si 2.66

Summary:
Energy = -8.603 eV per atom
Uncorrected formation energy = 0.139 eV/atom
Volume = 15.1 A^3/atom
Crystal system = trigonal
Mass density = 13.07 g/cm³
Space group = No. 160

=====

ReSi2As: relaxed, PBE.

abc: 3.0898 3.0898 6.4362
angles: 90.00 90.00 90.00
Closest atoms and distances in Å follow each position.
Fractional coordinates of all 4 atoms:
Re (0.0000, 0.0000, 0.0000)  8 Si 2.56
Si (0.5000, 0.5000, 0.2087)  4 Re 2.56, 1 Si 2.69
Si (0.5000, 0.5000, 0.7913)  4 Re 2.56, 1 Si 2.69
As (0.0000, 0.0000, 0.5000)  8 Si 2.88, 4 As 3.09, 2 Re 3.22

Summary:
Energy = -6.784 eV per atom
Uncorrected formation energy = 0.202 eV/atom
Volume = 15.4 A^3/atom
Crystal system = tetragonal
Mass density = 8.57 g/cm³
Space group = No. 123